Record 1
Compound: Ba4CaCo
Source: Alexandria via LeMat-Bulk
Functional: GGA-PBE
Structure: relaxed

Values from the calculation:
As for the symmetry: F-43m. The value obtained for the electronic total energy is -11.8 eV per formula unit. The calculation puts the density of states at the Fermi level at 16.4 states/eV per cell.

Cell lengths 7.5204, 7.5204, 7.5204 Å; angles 60.00, 60.00, 60.00 degrees
Fractional positions:
Ba1 0.3759 0.3759 0.3759
Ba2 0.3759 0.3759 0.8722
Ba3 0.3759 0.8722 0.3759
Ba4 0.8722 0.3759 0.3759
Ca1 0.0000 0.0000 0.0000
Co1 0.7500 0.7500 0.7500


Record 2
Compound: Ba2CaCo
Source: Alexandria via LeMat-Bulk
Functional: GGA-PBE
Structure: relaxed

Values from the calculation:
As for the symmetry: Immm. The value obtained for the electronic total energy is -11.5 eV per formula unit. The calculation puts the density of states at the Fermi level at 5.5 states/eV per cell. The energy relative to the lowest polymorph listed for this composition comes out at 67 meV/atom.

Cell lengths 9.1629, 9.1629, 9.1629 Å; angles 156.56, 148.77, 39.41 degrees
Fractional positions:
Ba1 0.1505 0.1505 0.0000
Ba2 0.8495 0.8495 0.0000
Ca1 0.5000 0.0000 0.5000
Co1 0.0000 0.5000 0.5000


Record 3
Compound: BaCa2Co
Source: Alexandria via LeMat-Bulk
Functional: GGA-PBE
Structure: relaxed

Values from the calculation:
As for the symmetry: P4mm. The value obtained for the electronic total energy is -11.8 eV per formula unit. The calculation puts the density of states at the Fermi level at 7.1 states/eV per cell. The energy relative to the lowest polymorph listed for this composition comes out at 24 meV/atom.

Cell lengths 3.7653, 3.7653, 9.7082 Å; angles 90.00, 90.00, 90.00 degrees
Fractional positions:
Ba1 0.0000 0.0000 0.0000
Ca1 0.0000 0.0000 0.6457
Ca2 0.5000 0.5000 0.3525
Co1 0.5000 0.5000 0.7963


Record 4
Compound: Ba2CaCo
Source: Alexandria via LeMat-Bulk
Functional: GGA-PBE
Structure: relaxed

Values from the calculation:
As for the symmetry: P4/mmm. The value obtained for the electronic total energy is -11.6 eV per formula unit. The calculation puts the density of states at the Fermi level at 7.4 states/eV per cell. The energy relative to the lowest polymorph listed for this composition comes out at 52 meV/atom.

Cell lengths 3.9068, 3.9068, 10.2375 Å; angles 90.00, 90.00, 90.00 degrees
Fractional positions:
Ba1 0.0000 0.0000 0.1783
Ba2 0.0000 0.0000 0.8217
Ca1 0.5000 0.5000 0.5000
Co1 0.5000 0.5000 0.0000


Record 5
Compound: BaCa2Co
Source: Alexandria via LeMat-Bulk
Functional: GGA-PBE
Structure: relaxed

Values from the calculation:
As for the symmetry: I-42d. The value obtained for the electronic total energy is -10.9 eV per formula unit. The calculation puts the density of states at the Fermi level at 7.1 states/eV per cell. The energy relative to the lowest polymorph listed for this composition comes out at 254 meV/atom.

Cell lengths 7.9374, 7.9374, 7.9374 Å; angles 120.12, 120.12, 89.80 degrees
Fractional positions:
Ba1 0.0000 0.0000 0.0000
Ba2 0.7500 0.2500 0.5000
Ca1 0.3741 0.1250 0.7491
Ca2 0.3750 0.6259 0.7509
Ca3 0.3759 0.6250 0.2509
Ca4 0.8750 0.6241 0.2491
Co1 0.2500 0.7500 0.5000
Co2 0.5000 0.5000 0.0000


Record 6
Compound: BaCa2Co2
Source: Alexandria via LeMat-Bulk
Functional: GGA-PBE
Structure: relaxed

Values from the calculation:
As for the symmetry: P4/mbm. The value obtained for the electronic total energy is -18.4 eV per formula unit. The calculation puts the density of states at the Fermi level at 9.2 states/eV per cell.

Cell lengths 8.0280, 8.0280, 4.2690 Å; angles 90.00, 90.00, 90.00 degrees
Fractional positions:
Ba1 0.0000 0.0000 0.0000
Ba2 0.5000 0.5000 0.0000
Ca1 0.1560 0.3440 0.5000
Ca2 0.3440 0.8440 0.5000
Ca3 0.6560 0.1560 0.5000
Ca4 0.8440 0.6560 0.5000
Co1 0.0975 0.5975 0.0000
Co2 0.4025 0.0975 0.0000
Co3 0.5975 0.9025 0.0000
Co4 0.9025 0.4025 0.0000


Record 7
Compound: Ba2CaCo
Source: Alexandria via LeMat-Bulk
Functional: GGA-PBE
Structure: relaxed

Values from the calculation:
As for the symmetry: F-43m. The value obtained for the electronic total energy is -10.6 eV per formula unit. The calculation puts the density of states at the Fermi level at 8.9 states/eV per cell. The energy relative to the lowest polymorph listed for this composition comes out at 306 meV/atom.

Cell lengths 5.8345, 5.8345, 5.8345 Å; angles 60.00, 60.00, 60.00 degrees
Fractional positions:
Ba1 0.0000 0.0000 0.0000
Ba2 0.2500 0.2500 0.2500
Ca1 0.5000 0.5000 0.5000
Co1 0.7500 0.7500 0.7500


Record 8
Compound: Ba2CaCo
Source: Alexandria via LeMat-Bulk
Functional: GGA-PBE
Structure: relaxed

Values from the calculation:
As for the symmetry: P4mm. The value obtained for the electronic total energy is -11.6 eV per formula unit. The calculation puts the density of states at the Fermi level at 7.0 states/eV per cell. The energy relative to the lowest polymorph listed for this composition comes out at 46 meV/atom.

Cell lengths 3.8579, 3.8579, 10.3978 Å; angles 90.00, 90.00, 90.00 degrees
Fractional positions:
Ba1 0.0000 0.0000 0.0000
Ba2 0.5000 0.5000 0.3601
Ca1 0.0000 0.0000 0.6713
Co1 0.5000 0.5000 0.8141


Record 9
Compound: BaCa2Co
Source: Alexandria via LeMat-Bulk
Functional: GGA-PBE
Structure: relaxed

Values from the calculation:
As for the symmetry: Cmmm. The value obtained for the electronic total energy is -11.9 eV per formula unit. The calculation puts the density of states at the Fermi level at 3.0 states/eV per cell. The energy relative to the lowest polymorph listed for this composition comes out at 0 meV/atom.

Cell lengths 6.7228, 6.7228, 4.0982 Å; angles 90.00, 90.00, 125.64 degrees
Fractional positions:
Ba1 0.0000 0.0000 0.0000
Ca1 0.3464 0.6536 0.5000
Ca2 0.6536 0.3464 0.5000
Co1 0.5000 0.5000 0.0000


Record 10
Compound: Ba2CaCo
Source: Alexandria via LeMat-Bulk
Functional: GGA-PBE
Structure: relaxed

Values from the calculation:
As for the symmetry: Cm. The value obtained for the electronic total energy is -11.7 eV per formula unit. The calculation puts the density of states at the Fermi level at 3.8 states/eV per cell. The energy relative to the lowest polymorph listed for this composition comes out at 28 meV/atom.

Cell lengths 6.7891, 6.7891, 7.0954 Å; angles 117.71, 117.71, 34.30 degrees
Fractional positions:
Ba1 0.0000 0.0000 0.0000
Ba2 0.1678 0.1678 0.6784
Ca1 0.8301 0.8301 0.3609
Co1 0.4733 0.4733 0.6596


Record 11
Compound: Ba2CaCo
Source: Alexandria via LeMat-Bulk
Functional: GGA-PBE
Structure: relaxed

Values from the calculation:
As for the symmetry: P4/mmm. The value obtained for the electronic total energy is -10.7 eV per formula unit. The calculation puts the density of states at the Fermi level at 7.6 states/eV per cell. The energy relative to the lowest polymorph listed for this composition comes out at 279 meV/atom.

Cell lengths 5.6011, 5.6011, 4.8450 Å; angles 90.00, 90.00, 90.00 degrees
Fractional positions:
Ba1 0.0000 0.5000 0.0000
Ba2 0.5000 0.0000 0.0000
Ca1 0.0000 0.0000 0.5000
Co1 0.5000 0.5000 0.5000


Record 12
Compound: BaCa2Co
Source: Alexandria via LeMat-Bulk
Functional: GGA-PBE
Structure: relaxed

Values from the calculation:
As for the symmetry: R-3m. The value obtained for the electronic total energy is -11.7 eV per formula unit. The calculation puts the density of states at the Fermi level at 5.8 states/eV per cell. The energy relative to the lowest polymorph listed for this composition comes out at 57 meV/atom.

Cell lengths 10.4917, 10.4917, 10.4917 Å; angles 22.56, 22.56, 22.56 degrees
Fractional positions:
Ba1 0.0000 0.0000 0.0000
Ca1 0.2183 0.2183 0.2183
Ca2 0.7817 0.7817 0.7817
Co1 0.5000 0.5000 0.5000


Record 13
Compound: BaCaCoCu2
Source: Alexandria via LeMat-Bulk
Functional: GGA-PBE
Structure: relaxed

Values from the calculation:
As for the symmetry: P4/mmm. The value obtained for the electronic total energy is -17.6 eV per formula unit. The calculation puts the density of states at the Fermi level at 3.7 states/eV per cell.

Cell lengths 4.9145, 4.9145, 4.7970 Å; angles 90.00, 90.00, 90.00 degrees
Fractional positions:
Ba1 0.0000 0.0000 0.0000
Ca1 0.5000 0.5000 0.0000
Co1 0.5000 0.5000 0.5000
Cu1 0.0000 0.5000 0.5000
Cu2 0.5000 0.0000 0.5000